Record 1
# GGA-PBE NbNiS, optimized geometry
data_NbNiS
_chemical_formula_sum 'Nb2 Ni2 S2'
_cell_length_a 3.089
_cell_length_b 3.301
_cell_length_c 8.467
_cell_angle_alpha 90.00
_cell_angle_beta 90.00
_cell_angle_gamma 90.00
_symmetry_space_group_name_H-M 'P 1'
_symmetry_Int_Tables_number 1
loop_
_symmetry_equiv_pos_as_xyz
'x,y,z'
loop_
_atom_site_label
_atom_site_fract_x
_atom_site_fract_y
_atom_site_fract_z
Nb1 0.000 0.000 0.000
Nb2 0.000 0.500 0.500
Ni1 0.500 0.000 0.293
Ni2 0.500 0.500 0.793
S1 0.500 0.000 0.626
S2 0.500 0.500 0.126
# raw total energy	-7.08	eV/atom
# energy relative to the elements, uncorrected	-0.417	eV per atom

Record 2
# GGA-PBE Nd2TlAg3, optimized geometry
data_Nd2TlAg3
_chemical_formula_sum 'Nd4 Tl2 Ag6'
_cell_length_a 9.956
_cell_length_b 9.300
_cell_length_c 6.031
_cell_angle_alpha 77.78
_cell_angle_beta 65.92
_cell_angle_gamma 36.30
_symmetry_space_group_name_H-M 'P 1'
_symmetry_Int_Tables_number 1
loop_
_symmetry_equiv_pos_as_xyz
'x,y,z'
loop_
_atom_site_label
_atom_site_fract_x
_atom_site_fract_y
_atom_site_fract_z
Nd1 0.244 0.756 0.756
Nd2 0.250 0.250 0.250
Nd3 0.750 0.750 0.750
Nd4 0.756 0.244 0.244
Tl1 0.333 0.333 0.667
Tl2 0.667 0.667 0.333
Ag1 0.165 0.165 0.835
Ag2 0.165 0.671 0.329
Ag3 0.329 0.835 0.165
Ag4 0.671 0.165 0.835
Ag5 0.835 0.329 0.671
Ag6 0.835 0.835 0.165
# E_form	-1.60	eV/f.u.
# raw total energy	-3.68	eV/atom

Record 3
# GGA-PBE ErNiSn2, optimized geometry
data_ErNiSn2
_chemical_formula_sum 'Er4 Ni4 Sn8'
_cell_length_a 9.556
_cell_length_b 5.404
_cell_length_c 6.953
_cell_angle_alpha 90.00
_cell_angle_beta 90.00
_cell_angle_gamma 90.00
_symmetry_space_group_name_H-M 'P 1'
_symmetry_Int_Tables_number 1
loop_
_symmetry_equiv_pos_as_xyz
'x,y,z'
loop_
_atom_site_label
_atom_site_fract_x
_atom_site_fract_y
_atom_site_fract_z
Er1 0.193 0.000 0.000
Er2 0.307 0.000 0.500
Er3 0.693 0.000 0.500
Er4 0.807 0.000 0.000
Ni1 0.000 0.235 0.276
Ni2 0.000 0.765 0.724
Ni3 0.500 0.235 0.224
Ni4 0.500 0.765 0.776
Sn1 0.000 0.231 0.653
Sn2 0.000 0.769 0.347
Sn3 0.250 0.467 0.250
Sn4 0.250 0.533 0.750
Sn5 0.500 0.231 0.847
Sn6 0.500 0.769 0.153
Sn7 0.750 0.467 0.250
Sn8 0.750 0.533 0.750
# E_form	-1.33	eV/f.u.
# raw total energy	-4.92	eV/atom

Record 4
# GGA-PBE Ho6ZnRu2, optimized geometry
data_Ho6ZnRu2
_chemical_formula_sum 'Ho12 Zn2 Ru4'
_cell_length_a 8.363
_cell_length_b 8.363
_cell_length_c 8.363
_cell_angle_alpha 112.57
_cell_angle_beta 112.50
_cell_angle_gamma 103.51
_symmetry_space_group_name_H-M 'P 1'
_symmetry_Int_Tables_number 1
loop_
_symmetry_equiv_pos_as_xyz
'x,y,z'
loop_
_atom_site_label
_atom_site_fract_x
_atom_site_fract_y
_atom_site_fract_z
Ho1 0.047 0.243 0.804
Ho2 0.180 0.281 0.461
Ho3 0.180 0.719 0.899
Ho4 0.330 0.016 0.686
Ho5 0.330 0.643 0.314
Ho6 0.439 0.243 0.196
Ho7 0.561 0.757 0.804
Ho8 0.670 0.357 0.686
Ho9 0.670 0.984 0.314
Ho10 0.820 0.281 0.101
Ho11 0.820 0.719 0.539
Ho12 0.953 0.757 0.196
Zn1 0.000 0.000 0.000
Zn2 0.500 0.500 0.000
Ru1 0.128 0.628 0.500
Ru2 0.317 0.000 0.317
Ru3 0.683 0.000 0.683
Ru4 0.872 0.372 0.500
# E_form	-2.96	eV/f.u.
# raw total energy	-5.58	eV/atom

| no. | N(E_F) (states/eV/cell) | mass density (g/cm³) |
| --- | --- | --- |
| 1 | 2.918 | 7.1 |
| 2 | 9.900 | 9.2 |
| 3 | 7.257 | 8.6 |
| 4 | 16.395 | 9.3 |